(1)
A plane-wave DFT calculation with GGA-PBE was carried out for a geometry-optimized HfMg3Sn structure.

Calculated values
E above lowest polymorph in eV per atom: 0.000
SG: Pm-3m, No. 221
E_tot in eV per atom: -2.925

abc: 5.230 5.230 5.230
angles: 90.00 90.00 90.00
Fractional positions:
Mg (0.000, 0.500, 0.000)
Mg (0.000, 0.000, 0.500)
Hf (0.500, 0.500, 0.500)
Sn (0.000, 0.000, 0.000)
Mg (0.500, 0.000, 0.000)

---

(2)
A plane-wave DFT calculation with GGA-PBE was carried out for a geometry-optimized Ca3ErTm2Se6 structure.

Calculated values
ΔE_f (raw) in meV per atom: -1841
SG: C2/m, No. 12
E_tot in eV per atom: -5.209

abc: 7.064 7.064 7.179
angles: 99.47 99.47 119.94
Fractional positions:
Ca (0.166, 0.834, 0.500)
Se (0.254, 0.254, 0.759)
Se (0.585, 0.920, 0.759)
Er (0.000, 0.000, 0.000)
Tm (0.667, 0.333, 0.000)
Se (0.746, 0.746, 0.241)
Se (0.080, 0.415, 0.241)
Tm (0.333, 0.667, 0.000)
Se (0.920, 0.585, 0.759)
Ca (0.500, 0.500, 0.500)
Se (0.415, 0.080, 0.241)
Ca (0.834, 0.166, 0.500)

---

(3)
A plane-wave DFT calculation with GGA-PBE was carried out for a geometry-optimized SbTeRh2 structure.

Calculated values
ΔE_f (raw) in meV per atom: -113
SG: R-3m, No. 166
E_tot in eV per atom: -5.605

abc: 8.175 8.175 8.175
angles: 23.53 23.53 23.53
Fractional positions:
Rh (0.247, 0.247, 0.247)
Sb (0.500, 0.500, 0.500)
Rh (0.753, 0.753, 0.753)
Te (0.000, 0.000, 0.000)

---

(4)
A plane-wave DFT calculation with GGA-PBE was carried out for a geometry-optimized YTeIr2N structure.

Calculated values
ΔE_f (raw) in meV per atom: 74
SG: P4/mmm, No. 123
E_tot in eV per atom: -7.057

abc: 4.020 5.946 4.020
angles: 90.00 90.00 90.00
Fractional positions:
Ir (0.000, 0.000, 0.500)
Te (0.000, 0.500, 0.000)
Ir (0.500, 0.000, 0.000)
N (0.000, 0.000, 0.000)
Y (0.500, 0.500, 0.500)

---

(5)
A plane-wave DFT calculation with GGA-PBE was carried out for a geometry-optimized VFe4Ni12 structure.

Calculated values
SG: Im-3m, No. 229
E_tot in eV per atom: -6.491

abc: 6.375 6.375 6.375
angles: 109.47 109.47 109.47
Last column: magnetic moment on the atom in μB.
Fractional positions:
Fe (0.500, 0.500, 0.500)  2.97
Ni (0.500, 0.750, 0.250)  0.55
Ni (0.250, 0.750, 0.500)  0.55
Ni (0.000, 0.703, 0.703)  0.30
Ni (0.297, 0.297, 0.000)  0.30
Ni (0.703, 0.000, 0.703)  0.30
V (0.000, 0.000, 0.000)  -0.41
Ni (0.500, 0.250, 0.750)  0.55
Ni (0.750, 0.250, 0.500)  0.55
Fe (0.500, 0.000, 0.000)  2.97
Fe (0.000, 0.000, 0.500)  2.97
Ni (0.703, 0.703, 0.000)  0.30
Fe (0.000, 0.500, 0.000)  2.97
Ni (0.000, 0.297, 0.297)  0.30
Ni (0.250, 0.500, 0.750)  0.55
Ni (0.750, 0.500, 0.250)  0.55
Ni (0.297, 0.000, 0.297)  0.30

---

(6)
A plane-wave DFT calculation with GGA-PBE was carried out for a geometry-optimized Nd2Sm5Th structure.

Calculated values
SG: Pbam, No. 55
E_tot in eV per atom: -5.036

abc: 5.166 7.255 14.525
angles: 90.00 90.00 90.00
Fractional positions:
Sm (0.000, 0.999, 0.252)
Nd (0.500, 0.255, 0.123)
Th (0.000, 0.000, 0.500)
Nd (0.500, 0.245, 0.623)
Sm (0.000, 0.499, 0.248)
Sm (0.000, 0.500, 0.500)
Nd (0.500, 0.755, 0.377)
Sm (0.000, 0.501, 0.752)
Th (0.000, 0.500, 0.000)
Sm (0.500, 0.757, 0.622)
Sm (0.500, 0.257, 0.878)
Sm (0.000, 0.001, 0.748)
Sm (0.000, 0.000, 0.000)
Sm (0.500, 0.743, 0.122)
Sm (0.500, 0.243, 0.378)
Nd (0.500, 0.745, 0.877)

---

(7)
A plane-wave DFT calculation with GGA-PBE was carried out for a geometry-optimized Ac4Hg3Bi structure.

Calculated values
SG: I4/mmm, No. 139
E_tot in eV per atom: -3.189

abc: 5.701 5.701 9.309
angles: 107.79 107.83 90.00
Fractional positions:
Hg (0.000, 0.500, 0.000)
Ac (0.627, 0.627, 0.255)
Ac (0.873, 0.873, 0.745)
Hg (0.755, 0.255, 0.511)
Bi (0.500, 0.000, 0.000)
Ac (0.127, 0.127, 0.255)
Hg (0.245, 0.745, 0.489)
Ac (0.373, 0.373, 0.745)

---

(8)
A plane-wave DFT calculation with GGA-PBE was carried out for a geometry-optimized Ca2PmPr structure.

Calculated values
E above lowest polymorph in eV per atom: 0.081
SG: P4/mmm, No. 123
E_tot in eV per atom: -3.267

abc: 4.228 5.964 5.964
angles: 90.00 90.00 90.00
Fractional positions:
Ca (0.000, 0.000, 0.500)
Pm (0.500, 0.000, 0.000)
Pr (0.500, 0.500, 0.500)
Ca (0.000, 0.500, 0.000)

---

(9)
A plane-wave DFT calculation with GGA-PBE was carried out for a geometry-optimized CaAlTe2 structure.

Calculated values
ΔE_f (raw) in meV per atom: -186
SG: F-43m, No. 216
E_tot in eV per atom: -3.193

abc: 5.447 5.447 5.447
angles: 60.00 60.00 60.00
Fractional positions:
Te (0.000, 0.000, 0.000)
Al (0.500, 0.500, 0.500)
Ca (0.750, 0.750, 0.750)
Te (0.250, 0.250, 0.250)

---

(10)
A plane-wave DFT calculation with GGA-PBE was carried out for a geometry-optimized ScAlSe2 structure.

Calculated values
ΔE_f (raw) in meV per atom: -1000
SG: R-3m, No. 166
E_tot in eV per atom: -5.261

abc: 3.832 3.832 7.412
angles: 75.01 75.01 59.99
Fractional positions:
Se (0.507, 0.507, 0.480)
Sc (0.250, 0.250, 0.250)
Se (0.993, 0.993, 0.020)
Al (0.750, 0.750, 0.750)

---

(11)
A plane-wave DFT calculation with GGA-PBE was carried out for a geometry-optimized ZrSiAg structure.

Calculated values
ΔE_f (raw) in meV per atom: 69
SG: P3m1, No. 156
E_tot in eV per atom: -5.539

abc: 3.005 3.005 7.098
angles: 90.00 90.00 120.00
Fractional positions:
Ag (0.000, 0.000, 0.016)
Zr (0.333, 0.667, 0.654)
Si (0.667, 0.333, 0.330)

---

(12)
A plane-wave DFT calculation with GGA-PBE was carried out for a geometry-optimized YNbP2Au structure.

Calculated values
SG: P4/mmm, No. 123
E_tot in eV per atom: -5.346

abc: 4.840 5.092 4.840
angles: 90.00 90.00 90.00
Last column: magnetic moment on the atom in μB.
Fractional positions:
P (0.000, 0.000, 0.500)  0.01
P (0.500, 0.000, 0.000)  0.02
Au (0.000, 0.000, 0.000)  0.04
Nb (0.000, 0.500, 0.000)  1.01
Y (0.500, 0.500, 0.500)  0.03

---

(13)
A plane-wave DFT calculation with GGA-PBE was carried out for a geometry-optimized BeW2Cl structure.

Calculated values
E above lowest polymorph in eV per atom: 0.708
ΔE_f (raw) in meV per atom: 1021
SG: Fm-3m, No. 225
E_tot in eV per atom: -6.849

abc: 4.242 4.242 4.242
angles: 60.00 60.00 60.00
Fractional positions:
W (0.750, 0.750, 0.750)
W (0.250, 0.250, 0.250)
Be (0.000, 0.000, 0.000)
Cl (0.500, 0.500, 0.500)

---

(14)
A plane-wave DFT calculation with GGA-PBE was carried out for a geometry-optimized YFeIr structure.

Calculated values
SG: F-43m, No. 216
E_tot in eV per atom: -7.200

abc: 4.512 4.512 4.512
angles: 60.00 60.00 60.00
Last column: magnetic moment on the atom in μB.
Fractional positions:
Ir (0.500, 0.500, 0.500)  0.29
Fe (0.000, 0.000, 0.000)  2.83
Y (0.250, 0.250, 0.250)  -0.13

---

(15)
A plane-wave DFT calculation with GGA-PBE was carried out for a geometry-optimized TbPm3Sc2 structure.

Calculated values
E above lowest polymorph in eV per atom: 0.000
SG: C2/c, No. 15
E_tot in eV per atom: -5.202

abc: 7.029 6.057 9.280
angles: 89.55 112.26 90.00
Fractional positions:
Tb (0.872, 0.750, 0.000)
Sc (0.456, 0.919, 0.664)
Tb (0.128, 0.250, 0.000)
Pm (0.296, 0.586, 0.339)
Pm (0.043, 0.086, 0.339)
Pm (0.704, 0.414, 0.661)
Pm (0.957, 0.914, 0.661)
Pm (0.377, 0.750, 0.000)
Sc (0.209, 0.419, 0.664)
Sc (0.791, 0.581, 0.336)
Sc (0.544, 0.081, 0.336)
Pm (0.623, 0.250, 0.000)

---

(16)
A plane-wave DFT calculation with GGA-PBE was carried out for a geometry-optimized MgTi2HgW structure.

Calculated values
SG: P4/mmm, No. 123
E_tot in eV per atom: -5.282

abc: 4.727 5.241 4.727
angles: 90.00 90.00 90.00
Fractional positions:
W (0.000, 0.000, 0.000)
Ti (0.500, 0.000, 0.000)
Hg (0.500, 0.500, 0.500)
Ti (0.000, 0.000, 0.500)
Mg (0.000, 0.500, 0.000)

---

(17)
A plane-wave DFT calculation with GGA-PBE was carried out for a geometry-optimized LiAcHoSb structure.

Calculated values
ΔE_f (raw) in meV per atom: -365
SG: F-43m, No. 216
E_tot in eV per atom: -4.046

abc: 5.470 5.470 5.470
angles: 60.00 60.00 60.00
Fractional positions:
Sb (0.500, 0.500, 0.500)
Ac (0.250, 0.250, 0.250)
Ho (0.750, 0.750, 0.750)
Li (0.000, 0.000, 0.000)

---

(18)
A plane-wave DFT calculation with GGA-PBE was carried out for a geometry-optimized Ir15Os2Rh2 structure.

Calculated values
SG: R-3m, No. 166
E_tot in eV per atom: -8.425

abc: 6.810 6.810 6.810
angles: 81.03 81.03 81.03
Fractional positions:
Rh (0.290, 0.290, 0.290)
Ir (0.347, 0.347, 0.848)
Ir (0.347, 0.848, 0.347)
Rh (0.710, 0.710, 0.710)
Ir (0.000, 0.688, 0.312)
Ir (0.000, 0.000, 0.500)
Ir (0.000, 0.312, 0.688)
Ir (0.000, 0.500, 0.000)
Os (0.090, 0.090, 0.090)
Ir (0.500, 0.000, 0.000)
Os (0.910, 0.910, 0.910)
Ir (0.653, 0.653, 0.152)
Ir (0.688, 0.312, 0.000)
Ir (0.653, 0.152, 0.653)
Ir (0.312, 0.000, 0.688)
Ir (0.312, 0.688, 0.000)
Ir (0.688, 0.000, 0.312)
Ir (0.152, 0.653, 0.653)
Ir (0.848, 0.347, 0.347)

---

(19)
A plane-wave DFT calculation with GGA-PBE was carried out for a geometry-optimized CrCd structure.

Calculated values
SG: Pmn2_1, No. 31
E_tot in eV per atom: -4.768

abc: 11.554 2.800 6.712
angles: 90.00 90.00 90.00
Fractional positions:
Cr (0.591, 0.450, 0.083)
Cr (0.409, 0.450, 0.083)
Cd (0.773, 0.940, 0.281)
Cd (0.000, 0.936, 0.943)
Cd (0.273, 0.060, 0.781)
Cr (0.500, 0.716, 0.830)
Cr (0.000, 0.284, 0.330)
Cd (0.500, 0.064, 0.443)
Cd (0.227, 0.940, 0.281)
Cr (0.909, 0.550, 0.583)
Cr (0.091, 0.550, 0.583)
Cd (0.727, 0.060, 0.781)

---

(20)
A plane-wave DFT calculation with GGA-PBE was carried out for a geometry-optimized PmBe2SiN structure.

Calculated values
ΔE_f (raw) in meV per atom: -699
SG: Cmcm, No. 63
E_tot in eV per atom: -5.889

abc: 3.738 5.715 6.576
angles: 90.00 90.00 109.09
Fractional positions:
Be (0.856, 0.712, 0.071)
Pm (0.442, 0.884, 0.750)
N (0.000, 0.000, 0.500)
N (0.000, 0.000, 0.000)
Pm (0.558, 0.116, 0.250)
Be (0.144, 0.288, 0.929)
Be (0.144, 0.288, 0.571)
Si (0.721, 0.443, 0.750)
Si (0.279, 0.557, 0.250)
Be (0.856, 0.712, 0.429)

---

(21)
A plane-wave DFT calculation with GGA-PBE was carried out for a geometry-optimized CdHg2H2 structure.

Calculated values
E above lowest polymorph in eV per atom: 0.401
SG: I4/mmm, No. 139
E_tot in eV per atom: -1.187

abc: 3.416 3.416 7.316
angles: 76.50 76.50 90.00
Fractional positions:
Hg (0.648, 0.648, 0.704)
H (0.250, 0.750, 0.500)
Hg (0.352, 0.352, 0.296)
H (0.750, 0.250, 0.500)
Cd (0.000, 0.000, 0.000)

---

(22)
A plane-wave DFT calculation with GGA-PBE was carried out for a geometry-optimized Hg2P2Se7 structure.

Calculated values
ΔE_f (raw) in meV per atom: -85
SG: C2/c, No. 15
E_tot in eV per atom: -3.341

abc: 7.874 7.874 13.341
angles: 83.98 83.98 114.51
Fractional positions:
Se (0.717, 0.968, 0.953)
Se (0.528, 0.716, 0.381)
P (0.764, 0.824, 0.826)
Se (0.968, 0.717, 0.453)
Se (0.131, 0.408, 0.785)
Se (0.472, 0.284, 0.619)
Se (0.408, 0.131, 0.285)
Se (0.283, 0.032, 0.047)
Se (0.592, 0.869, 0.715)
Hg (0.683, 0.669, 0.082)
Se (0.032, 0.283, 0.547)
Se (0.925, 0.075, 0.250)
Se (0.284, 0.472, 0.119)
Hg (0.317, 0.331, 0.918)
Hg (0.331, 0.317, 0.418)
P (0.824, 0.764, 0.326)
Se (0.075, 0.925, 0.750)
Hg (0.669, 0.683, 0.582)
P (0.176, 0.236, 0.674)
Se (0.869, 0.592, 0.215)
Se (0.716, 0.528, 0.881)
P (0.236, 0.176, 0.174)

---

(23)
A plane-wave DFT calculation with GGA-PBE was carried out for a geometry-optimized Te2Cl structure.

Calculated values
E above lowest polymorph in eV per atom: 0.411
ΔE_f (raw) in meV per atom: 166
SG: I4/mcm, No. 140
E_tot in eV per atom: -2.544

abc: 6.464 6.464 6.464
angles: 116.24 116.24 96.64
Fractional positions:
Te (0.133, 0.367, 0.500)
Cl (0.250, 0.250, 0.000)
Te (0.867, 0.633, 0.500)
Cl (0.750, 0.750, 0.000)
Te (0.367, 0.867, 0.234)
Te (0.633, 0.133, 0.766)

---

(24)
A plane-wave DFT calculation with GGA-PBE was carried out for a geometry-optimized Li3FeSi structure.

Calculated values
E above lowest polymorph in eV per atom: 0.203
ΔE_f (raw) in meV per atom: 900
SG: Pm-3m, No. 221
E_tot in eV per atom: -3.025

abc: 4.555 4.555 4.555
angles: 90.00 90.00 90.00
Last column: magnetic moment on the atom in μB.
Fractional positions:
Si (0.500, 0.500, 0.500)  -0.06
Li (0.000, 0.500, 0.000)  0.00
Fe (0.000, 0.000, 0.000)  2.60
Li (0.000, 0.000, 0.500)  0.00
Li (0.500, 0.000, 0.000)  -0.01